[1]
DFT (PBE-GGA) results for a relaxed MnTlTeCl2 crystal.

Cell: 8.3115 8.3115 8.8779 Å, 90.00 90.00 154.04°
Closest atoms and distances in Å follow each position.
Positions (direct):
Mn (0.0000, 0.0000, 0.0000)  2 Cl 2.28
Mn (0.0000, 0.0000, 0.5000)  2 Cl 2.28
Tl (0.2289, 0.7711, 0.7500)  6 Cl 3.10-3.34
Tl (0.7711, 0.2289, 0.2500)  6 Cl 3.10-3.34
Te (0.4603, 0.5397, 0.2500)  4 Mn 2.97
Te (0.5397, 0.4603, 0.7500)  4 Mn 2.97
Cl (0.1373, 0.8627, 0.0561)  1 Mn 2.28
Cl (0.1373, 0.8627, 0.4439)  1 Mn 2.28
Cl (0.8627, 0.1373, 0.5561)  1 Mn 2.28
Cl (0.8627, 0.1373, 0.9439)  1 Mn 2.28

Values from the calculation:
Magnetic moment in Bohr magnetons per cell: 8.1
Formation energy (no corrections) in eV/atom: -0.636
DOS(E_F) in states/eV per cell: 1.86
ΔE to the lowest computed polymorph in meV/atom: 0.0

=====

[2]
DFT (PBE-GGA) results for a relaxed CdBr crystal.

Cell: 11.2440 11.2440 4.3376 Å, 90.00 90.00 90.00°
Closest atoms and distances in Å follow each position.
Positions (direct):
Cd (0.0653, 0.1693, 0.0000)  2 Cd 2.89, 2 Br 2.99
Cd (0.1693, 0.9347, 0.0000)  2 Cd 2.89, 2 Br 2.99
Cd (0.3433, 0.3974, 0.5000)  3 Br 2.65-2.81
Cd (0.3974, 0.6567, 0.5000)  3 Br 2.65-2.81
Cd (0.6026, 0.3433, 0.5000)  3 Br 2.65-2.81
Cd (0.6567, 0.6026, 0.5000)  3 Br 2.65-2.81
Cd (0.8307, 0.0653, 0.0000)  2 Cd 2.89, 2 Br 2.99
Cd (0.9347, 0.8307, 0.0000)  2 Cd 2.89, 2 Br 2.99
Br (0.1132, 0.3458, 0.5000)  1 Cd 2.65
Br (0.2511, 0.5947, 0.0000)  2 Cd 2.81
Br (0.3458, 0.8868, 0.5000)  1 Cd 2.65
Br (0.4053, 0.2511, 0.0000)  2 Cd 2.81
Br (0.5947, 0.7489, 0.0000)  2 Cd 2.81
Br (0.6542, 0.1132, 0.5000)  1 Cd 2.65
Br (0.7489, 0.4053, 0.0000)  2 Cd 2.81
Br (0.8868, 0.6542, 0.5000)  1 Cd 2.65

Values from the calculation:
Magnetic moment in Bohr magnetons per cell: 0.0
Formation energy (no corrections) in eV/atom: -0.475
DOS(E_F) in states/eV per cell: 2.05

=====

- Among the records above, which one has the lowest DOS(E_F)?
  MnTlTeCl2

=====

- What is the formula in the second record?
  CdBr